Compound: Na2Mg2Ga2PdPt
Source: OQMD via LeMat-Bulk
Functional: PBE
Structure: relaxed

Summary:
Space group ... P-4m2, No. 115

Unit cell a=4.6119 b=4.6119 c=6.5098 alpha=90.00 beta=90.00 gamma=90.00
Fractional positions:
Pt (0.5000, 0.5000, 0.5000)
Pd (0.0000, 0.0000, 0.0000)
Mg (0.0000, 0.5000, 0.7495)
Mg (0.5000, 0.0000, 0.2505)
Ga (0.5000, 0.0000, 0.7496)
Ga (0.0000, 0.5000, 0.2504)
Na (0.5000, 0.5000, 0.0000)
Na (0.0000, 0.0000, 0.5000)

***

Compound: Cs4Nb2Si8O23
Source: OQMD via LeMat-Bulk
Functional: PBE
Structure: relaxed

Summary:
Space group ... P-1, No. 2

Unit cell a=6.9899 b=7.7873 c=11.0841 alpha=77.18 beta=89.73 gamma=72.10
Fractional positions:
O (0.5235, 0.2551, 0.7915)
O (0.0424, 0.9748, 0.7590)
O (0.4708, 0.9329, 0.7834)
O (0.5000, 0.5000, 0.5000)
O (0.7146, 0.2066, 0.0076)
O (0.9576, 0.0252, 0.2410)
O (0.4365, 0.4485, 0.1393)
O (0.8763, 0.3145, 0.7959)
O (0.4457, 0.8571, 0.4205)
O (0.2854, 0.7934, 0.9924)
O (0.3188, 0.7339, 0.6387)
O (0.5292, 0.0671, 0.2166)
O (0.1237, 0.6855, 0.2041)
O (0.6812, 0.2661, 0.3613)
O (0.1302, 0.7324, 0.4342)
O (0.4765, 0.7449, 0.2085)
O (0.1363, 0.5925, 0.8533)
O (0.5635, 0.5515, 0.8607)
O (0.8698, 0.2676, 0.5658)
O (0.8637, 0.4075, 0.1467)
O (0.1994, 0.2565, 0.6708)
O (0.5543, 0.1429, 0.5795)
O (0.8006, 0.7435, 0.3292)
Cs (0.2116, 0.2099, 0.0111)
Cs (0.7884, 0.7901, 0.9889)
Cs (0.8251, 0.7169, 0.6385)
Cs (0.1749, 0.2831, 0.3615)
Si (0.6514, 0.2953, 0.4982)
Si (0.3486, 0.7047, 0.5018)
Si (0.4392, 0.1401, 0.7099)
Si (0.3340, 0.6671, 0.1324)
Si (0.6660, 0.3329, 0.8676)
Si (0.5608, 0.8599, 0.2901)
Si (0.0018, 0.8077, 0.2991)
Si (0.9982, 0.1923, 0.7009)
Nb (0.7101, 0.2586, 0.1807)
Nb (0.2898, 0.7414, 0.8193)

***

no.,total magnetic moment (μB per atom),total DFT energy (no corrections) (eV per atom)
1,0.000,-3.23
2,0.000,-7.55